Ti2Fe2Hg | PBE | optimized geometry

Properties
formation energy = -0.044 eV per atom
E_tot = -66.47 eV/cell
polymorph energy (0 for the lowest one) = 0.000 eV per atom

abc: 7.006 7.006 2.989
angles: 90.00 90.00 90.00
Space group P4/mbm (No. 127)
Symmetry-distinct sites (fractional):
Ti1 0.153 0.347 0.000 [4 per cell]
Fe1 0.137 0.637 0.500 [4 per cell]
Hg1 0.000 0.000 0.500 [2 per cell]

***

Tl2FeHg | PBE | optimized geometry

Properties
formation energy = 0.378 eV per atom
E_tot = -23.97 eV/cell
polymorph energy (0 for the lowest one) = 0.009 eV per atom

abc: 14.252 3.065 4.729
angles: 90.00 109.19 90.00
Space group Cm (No. 8)
Symmetry-distinct sites (fractional):
Tl1 0.000 0.000 0.000 [2 per cell]
Tl2 0.189 0.000 0.689 [2 per cell]
Fe1 0.190 0.500 0.191 [2 per cell]
Hg1 0.367 0.000 0.368 [2 per cell]

***

TlFeHg2 | PBE | optimized geometry

Properties
formation energy = 0.350 eV per atom
E_tot = -20.07 eV/cell
polymorph energy (0 for the lowest one) = 0.013 eV per atom

abc: 13.011 3.041 4.882
angles: 90.00 111.47 90.00
Space group C2/m (No. 12)
Symmetry-distinct sites (fractional):
Tl1 0.000 0.000 0.000 [2 per cell]
Fe1 0.000 0.500 0.500 [2 per cell]
Hg1 0.194 0.000 0.695 [4 per cell]

***

TlFe2Hg2 | PBE | optimized geometry

Properties
formation energy = 0.404 eV per atom
E_tot = -35.75 eV/cell
polymorph energy (0 for the lowest one) = 0.000 eV per atom

abc: 3.379 3.379 18.777
angles: 90.00 90.00 90.00
Space group I4/mmm (No. 139)
Symmetry-distinct sites (fractional):
Tl1 0.000 0.000 0.000 [2 per cell]
Fe1 0.000 0.500 0.250 [4 per cell]
Hg1 0.000 0.000 0.371 [4 per cell]

***

Tl2FeHg | PBE | optimized geometry

Properties
formation energy = 0.531 eV per atom
E_tot = -11.37 eV/cell
polymorph energy (0 for the lowest one) = 0.162 eV per atom

abc: 4.860 4.860 3.978
angles: 90.00 90.00 90.00
Space group P4/mmm (No. 123)
Symmetry-distinct sites (fractional):
Tl1 0.000 0.500 0.000 [2 per cell]
Fe1 0.000 0.000 0.500 [1 per cell]
Hg1 0.500 0.500 0.500 [1 per cell]

***

Tl2FeHg | PBE | optimized geometry

Properties
formation energy = 0.594 eV per atom
E_tot = -44.48 eV/cell
polymorph energy (0 for the lowest one) = 0.225 eV per atom

abc: 7.279 7.279 7.279
angles: 90.00 90.00 90.00
Space group F-43m (No. 216)
Symmetry-distinct sites (fractional):
Tl1 0.000 0.000 0.000 [4 per cell]
Tl2 0.250 0.250 0.250 [4 per cell]
Fe1 0.250 0.250 0.750 [4 per cell]
Hg1 0.000 0.000 0.500 [4 per cell]

***

Which value of formation energy does entry 4 give? 0.404 eV per atom

***

Which value of formation energy does entry 1 give? -0.044 eV per atom